No. 1
DFT (PBE) results for a relaxed La3PmNd4Te8 crystal.

Summary:
Energy, eV per atom: -5.4679
SG: No. 166

a = 9.0384 Å, b = 9.0384 Å, c = 9.0384 Å
α = 60.25°, β = 60.25°, γ = 60.25°
Sites, in units of the cell vectors:
1 La 0.0000 0.5000 0.5000
2 La 0.5000 0.0000 0.5000
3 La 0.5000 0.5000 0.0000
4 Pm 0.0000 0.0000 0.0000
5 Nd 0.0000 0.0000 0.5000
6 Nd 0.0000 0.5000 0.0000
7 Nd 0.5000 0.0000 0.0000
8 Nd 0.5000 0.5000 0.5000
9 Te 0.2460 0.7509 0.7509
10 Te 0.2484 0.2484 0.2484
11 Te 0.2491 0.2491 0.7540
12 Te 0.2491 0.7540 0.2491
13 Te 0.7509 0.2460 0.7509
14 Te 0.7509 0.7509 0.2460
15 Te 0.7516 0.7516 0.7516
16 Te 0.7540 0.2491 0.2491

***

No. 2
DFT (PBE) results for a relaxed La2Pm4NdTh crystal.

Summary:
SG: No. 10
DFT formation energy, kJ per mole of atoms: 3

a = 6.3689 Å, b = 3.6690 Å, c = 12.0967 Å
α = 90.00°, β = 100.07°, γ = 90.00°
Sites, in units of the cell vectors:
1 La 0.0000 0.0000 0.0000
2 La 0.0000 0.5000 0.5000
3 Pm 0.2549 0.0000 0.7484
4 Pm 0.2572 0.5000 0.2571
5 Pm 0.7428 0.5000 0.7429
6 Pm 0.7451 0.0000 0.2516
7 Nd 0.5000 0.5000 0.0000
8 Th 0.5000 0.0000 0.5000

***

No. 3
DFT (PBE) results for a relaxed LaPmNdTh crystal.

Summary:
SG: No. 99
Polymorph energy (0 for the lowest one), eV/atom: 0.000
DFT formation energy, kJ per mole of atoms: 3

a = 3.6231 Å, b = 3.6231 Å, c = 10.5821 Å
α = 90.00°, β = 90.00°, γ = 90.00°
Sites, in units of the cell vectors:
1 La 0.0000 0.0000 0.0000
2 Pm 0.5000 0.5000 0.7349
3 Nd 0.5000 0.5000 0.2676
4 Th 0.0000 0.0000 0.5021

***

No. 4
DFT (PBE) results for a relaxed La2Pm5NdTh crystal.

Summary:
SG: No. 36
DFT formation energy, kJ per mole of atoms: 14

a = 10.6634 Å, b = 10.6634 Å, c = 10.7147 Å
α = 90.00°, β = 90.00°, γ = 148.49°
Sites, in units of the cell vectors:
1 La 0.1169 0.8831 0.5000
2 La 0.1172 0.8828 0.9090
3 La 0.8831 0.1169 0.0000
4 La 0.8828 0.1172 0.4090
5 Pm 0.0167 0.9833 0.2025
6 Pm 0.2758 0.7242 0.4957
7 Pm 0.2957 0.7044 0.8849
8 Pm 0.3885 0.6115 0.2037
9 Pm 0.4797 0.5203 0.9191
10 Pm 0.5203 0.4797 0.4191
11 Pm 0.6115 0.3885 0.7037
12 Pm 0.7044 0.2957 0.3849
13 Pm 0.7242 0.2758 0.9957
14 Pm 0.9833 0.0167 0.7025
15 Nd 0.4099 0.5901 0.6317
16 Nd 0.5901 0.4099 0.1317
17 Th 0.2007 0.7993 0.1915
18 Th 0.7993 0.2007 0.6915

***

No. 5
DFT (PBE) results for a relaxed LaPm2NdTh crystal.

Summary:
SG: No. 13
DFT formation energy, kJ per mole of atoms: 27

a = 8.6993 Å, b = 6.5705 Å, c = 6.4989 Å
α = 90.00°, β = 100.49°, γ = 90.00°
Sites, in units of the cell vectors:
1 La 0.0000 0.0000 0.0000
2 La 0.0000 0.0000 0.5000
3 Pm 0.3139 0.3255 0.1856
4 Pm 0.3139 0.6745 0.6856
5 Pm 0.6861 0.3255 0.3144
6 Pm 0.6861 0.6745 0.8144
7 Nd 0.5000 0.1631 0.7500
8 Nd 0.5000 0.8369 0.2500
9 Th 0.0000 0.4517 0.7500
10 Th 0.0000 0.5483 0.2500

***

No. 6
DFT (PBE) results for a relaxed LaPmNdTh crystal.

Summary:
SG: No. 216
Polymorph energy (0 for the lowest one), eV/atom: 0.173
DFT formation energy, kJ per mole of atoms: 20

a = 5.8132 Å, b = 5.8132 Å, c = 5.8132 Å
α = 60.00°, β = 60.00°, γ = 60.00°
Sites, in units of the cell vectors:
1 La 0.0000 0.0000 0.0000
2 Pm 0.5000 0.5000 0.5000
3 Nd 0.7500 0.7500 0.7500
4 Th 0.2500 0.2500 0.2500

***

No. 7
DFT (PBE) results for a relaxed La2PmNd5Th crystal.

Summary:
SG: No. 36
DFT formation energy, kJ per mole of atoms: 14

a = 10.7172 Å, b = 10.7172 Å, c = 10.7503 Å
α = 90.00°, β = 90.00°, γ = 148.56°
Sites, in units of the cell vectors:
1 La 0.1163 0.8837 0.5000
2 La 0.1172 0.8828 0.0881
3 La 0.8828 0.1172 0.5881
4 La 0.8837 0.1163 0.0000
5 Pm 0.4083 0.5917 0.2237
6 Pm 0.5917 0.4083 0.7237
7 Nd 0.0165 0.9835 0.7912
8 Nd 0.2758 0.7242 0.0841
9 Nd 0.2944 0.7056 0.4729
10 Nd 0.3876 0.6124 0.7931
11 Nd 0.4807 0.5193 0.5102
12 Nd 0.5193 0.4807 0.0102
13 Nd 0.6124 0.3876 0.2931
14 Nd 0.7056 0.2944 0.9729
15 Nd 0.7242 0.2758 0.5841
16 Nd 0.9835 0.0165 0.2912
17 Th 0.2003 0.7997 0.7801
18 Th 0.7997 0.2003 0.2801

***

No. 8
DFT (PBE) results for a relaxed La6PmNdTh2 crystal.

Summary:
SG: No. 15
DFT formation energy, kJ per mole of atoms: 12

a = 8.8046 Å, b = 8.8046 Å, c = 10.7895 Å
α = 97.64°, β = 97.64°, γ = 117.64°
Sites, in units of the cell vectors:
1 La 0.0116 0.5633 0.1679
2 La 0.1047 0.7413 0.5432
3 La 0.2587 0.8953 0.9568
4 La 0.3127 0.5083 0.3831
5 La 0.4367 0.9884 0.3321
6 La 0.4917 0.6873 0.1169
7 La 0.5083 0.3127 0.8831
8 La 0.5633 0.0116 0.6679
9 La 0.6873 0.4917 0.6169
10 La 0.7413 0.1047 0.0432
11 La 0.8953 0.2587 0.4568
12 La 0.9884 0.4367 0.8321
13 Pm 0.4012 0.5988 0.7500
14 Pm 0.5988 0.4012 0.2500
15 Nd 0.0086 0.9914 0.2500
16 Nd 0.9914 0.0086 0.7500
17 Th 0.1796 0.2602 0.0439
18 Th 0.2602 0.1796 0.5439
19 Th 0.7398 0.8204 0.4561
20 Th 0.8204 0.7398 0.9561